(1)
Density functional theory data (PBE-GGA) for a relaxed structure of CsTaNi3.

## Properties
**Calculated formation energy**: 5.7 eV/f.u.
**Energy relative to the lowest polymorph listed for this composition**: 0.0 meV per atom

POSCAR file:
```
CsTaNi3
1.0
4.860 0.000 0.000
0.000 4.860 0.000
0.000 0.000 4.860
Cs Ta Ni
1 1 3
Direct
0.000 0.000 0.000 Cs
0.500 0.500 0.500 Ta
0.000 0.500 0.500 Ni
0.500 0.000 0.500 Ni
0.500 0.500 0.000 Ni
```

(2)
Density functional theory data (PBE-GGA) for a relaxed structure of CsTa2Ni.

## Properties
**Calculated formation energy**: 6.5 eV/f.u.
**Energy relative to the lowest polymorph listed for this composition**: 0.0 meV per atom

POSCAR file:
```
CsTa2Ni
1.0
0.000 3.332 3.332
3.332 0.000 3.332
3.332 3.332 0.000
Cs Ta Ni
1 2 1
Direct
0.000 0.000 0.000 Cs
0.250 0.250 0.250 Ta
0.750 0.750 0.750 Ta
0.500 0.500 0.500 Ni
```

(3)
Density functional theory data (PBE-GGA) for a relaxed structure of CsTa2Ni.

## Properties
**Calculated formation energy**: 6.7 eV/f.u.
**Energy relative to the lowest polymorph listed for this composition**: 43.3 meV per atom

POSCAR file:
```
CsTa2Ni
1.0
-2.541 2.541 8.431
2.541 -2.541 8.431
2.541 2.541 -8.431
Cs Ta Ni
2 4 2
Direct
0.000 0.000 0.000 Cs
0.750 0.250 0.500 Cs
0.289 0.625 0.164 Ta
0.375 0.539 0.664 Ta
0.461 0.125 0.836 Ta
0.875 0.711 0.336 Ta
0.250 0.750 0.500 Ni
0.500 0.500 0.000 Ni
```

(4)
Density functional theory data (PBE-GGA) for a relaxed structure of Cs2TaNi.

## Properties
**Calculated formation energy**: 5.3 eV/f.u.

POSCAR file:
```
Cs2TaNi
1.0
-6.669 6.669 2.357
6.669 -6.669 2.357
6.669 6.669 -2.357
Cs Ta Ni
4 2 2
Direct
0.375 0.055 0.180 Cs
0.805 0.625 0.680 Cs
0.875 0.195 0.820 Cs
0.945 0.125 0.320 Cs
0.250 0.750 0.500 Ta
0.500 0.500 0.000 Ta
0.000 0.000 0.000 Ni
0.750 0.250 0.500 Ni
```

(5)
Density functional theory data (PBE-GGA) for a relaxed structure of CsTaNi3.

## Properties
**Calculated formation energy**: 12.3 eV/f.u.
**Energy relative to the lowest polymorph listed for this composition**: 1321.3 meV per atom

POSCAR file:
```
CsTaNi3
1.0
4.664 0.000 0.000
0.000 4.664 0.000
0.000 0.000 4.664
Cs Ta Ni
1 1 3
Direct
0.000 0.000 0.000 Cs
0.500 0.500 0.500 Ta
0.000 0.000 0.500 Ni
0.000 0.500 0.000 Ni
0.500 0.000 0.000 Ni
```

(6)
Density functional theory data (PBE-GGA) for a relaxed structure of CsTc2Ni.

## Properties
**Calculated formation energy**: 7.4 eV/f.u.
**Energy relative to the lowest polymorph listed for this composition**: 307.4 meV per atom

POSCAR file:
```
CsTc2Ni
1.0
0.000 3.229 3.229
3.229 0.000 3.229
3.229 3.229 0.000
Cs Tc Ni
1 2 1
Direct
0.000 0.000 0.000 Cs
0.250 0.250 0.250 Tc
0.750 0.750 0.750 Tc
0.500 0.500 0.500 Ni
```

(7)
Density functional theory data (PBE-GGA) for a relaxed structure of CsTcNi.

## Properties
**Calculated formation energy**: 1.6 eV/f.u.
**Energy relative to the lowest polymorph listed for this composition**: 5.2 meV per atom

POSCAR file:
```
CsTcNi
1.0
3.853 0.000 0.000
0.000 5.056 0.000
1.407 1.384 11.001
Cs Tc Ni
2 2 2
Direct
0.000 0.000 0.000 Cs
0.297 0.637 0.560 Cs
0.415 0.441 0.237 Tc
0.884 0.195 0.323 Tc
0.411 0.941 0.248 Ni
0.888 0.695 0.311 Ni
```

(8)
Density functional theory data (PBE-GGA) for a relaxed structure of CsTcNi3.

## Properties
**Calculated formation energy**: 12.6 eV/f.u.
**Energy relative to the lowest polymorph listed for this composition**: 1343.4 meV per atom

POSCAR file:
```
CsTcNi3
1.0
4.721 0.000 0.000
0.000 4.721 0.000
0.000 0.000 4.721
Cs Tc Ni
1 1 3
Direct
0.000 0.000 0.000 Cs
0.500 0.500 0.500 Tc
0.000 0.000 0.500 Ni
0.000 0.500 0.000 Ni
0.500 0.000 0.000 Ni
```

(9)
Density functional theory data (PBE-GGA) for a relaxed structure of Cs2TcNi.

## Properties
**Calculated formation energy**: 7.2 eV/f.u.

POSCAR file:
```
Cs2TcNi
1.0
0.000 3.995 3.995
3.995 0.000 3.995
3.995 3.995 0.000
Cs Tc Ni
2 1 1
Direct
0.250 0.250 0.250 Cs
0.750 0.750 0.750 Cs
0.000 0.000 0.000 Tc
0.500 0.500 0.500 Ni
```

(10)
Density functional theory data (PBE-GGA) for a relaxed structure of CsTcNi.

## Properties
**Calculated formation energy**: 1.6 eV/f.u.
**Energy relative to the lowest polymorph listed for this composition**: 0.8 meV per atom

POSCAR file:
```
CsTcNi
1.0
3.853 0.000 0.000
0.001 5.049 0.000
0.051 1.480 10.873
Cs Tc Ni
2 2 2
Direct
0.247 0.314 0.283 Cs
0.753 0.686 0.717 Cs
0.251 0.123 0.956 Tc
0.749 0.877 0.044 Tc
0.250 0.625 0.969 Ni
0.750 0.375 0.031 Ni
```

(11)
Density functional theory data (PBE-GGA) for a relaxed structure of CsTc2Ni.

## Properties
**Calculated formation energy**: 6.1 eV/f.u.
**Energy relative to the lowest polymorph listed for this composition**: 0.0 meV per atom

POSCAR file:
```
CsTc2Ni
1.0
-2.039 2.039 9.899
2.039 -2.039 9.899
2.039 2.039 -9.899
Cs Tc Ni
2 4 2
Direct
0.000 0.000 0.000 Cs
0.750 0.250 0.500 Cs
0.225 0.625 0.100 Tc
0.375 0.475 0.600 Tc
0.525 0.125 0.900 Tc
0.875 0.775 0.400 Tc
0.250 0.750 0.500 Ni
0.500 0.500 0.000 Ni
```

(12)
Density functional theory data (PBE-GGA) for a relaxed structure of CsTcNi.

## Properties
**Calculated formation energy**: 1.6 eV/f.u.
**Energy relative to the lowest polymorph listed for this composition**: 0.0 meV per atom

POSCAR file:
```
CsTcNi
1.0
3.757 0.000 0.000
0.000 3.902 0.000
0.943 1.747 12.421
Cs Tc Ni
2 2 2
Direct
0.000 0.000 0.000 Cs
0.351 0.725 0.613 Cs
0.440 0.896 0.249 Tc
0.911 0.844 0.365 Tc
0.409 0.341 0.373 Ni
0.942 0.400 0.240 Ni
```